[1]
Material: Pr5Cu2Te
Method: DFT, PBE
State: optimized geometry

abc: 8.3220 8.3220 8.8158
angles: 118.16 118.16 90.00
With the nearest neighbours (Å) after each atom.
Atoms (fractional coordinates):
Pr 0.2054 0.0111 0.7165  3 Cu 3.03-3.12
Pr 0.7946 0.9889 0.2835  3 Cu 3.03-3.12
Te 0.7500 0.7500 0.5000  10 Pr 3.28-3.46
Cu 0.8662 0.6338 0.0000  8 Pr 3.03-3.24, 1 Cu 3.15
Pr 0.5111 0.7054 0.7165  3 Cu 3.03-3.12
Pr 0.0000 0.0000 0.0000  4 Cu 3.24, 2 Te 3.28
Pr 0.0111 0.5111 0.7165  3 Cu 3.03-3.12
Pr 0.7054 0.2054 0.7165  3 Cu 3.03-3.12
Pr 0.5000 0.5000 0.0000  4 Cu 3.24, 2 Te 3.28
Pr 0.4889 0.2946 0.2835  3 Cu 3.03-3.12
Te 0.2500 0.2500 0.5000  10 Pr 3.28-3.46
Cu 0.1338 0.3662 0.0000  8 Pr 3.03-3.24, 1 Cu 3.15
Cu 0.3662 0.8662 0.0000  8 Pr 3.03-3.24, 1 Cu 3.15
Pr 0.9889 0.4889 0.2835  3 Cu 3.03-3.12
Pr 0.2946 0.7946 0.2835  3 Cu 3.03-3.12
Cu 0.6338 0.1338 0.0000  8 Pr 3.03-3.24, 1 Cu 3.15

Calculated values
- Symmetry: I4/mcm
- M_tot: 0.0000 μB/atom
- Calculated density: 7.01 g/cm3
- D(E_F): 17.21 states/eV per cell
- Energy relative to the elements, uncorrected: -3.26 eV per formula unit

***

[2]
Material: Pr6CuTe5
Method: DFT, PBE
State: optimized geometry

abc: 7.7797 7.7797 7.7787
angles: 99.69 99.69 119.82
With the nearest neighbours (Å) after each atom.
Atoms (fractional coordinates):
Te 0.8234 0.1766 0.5000  6 Pr 3.19-3.27
Te 0.5000 0.5000 0.5000  6 Pr 3.19-3.33
Pr 0.3911 0.0770 0.2349  1 Cu 2.98, 5 Te 3.19-3.27
Pr 0.7677 0.7677 0.2443  1 Cu 3.03, 5 Te 3.19-3.33
Cu 0.0000 0.0000 0.0000  6 Pr 2.98-3.03
Pr 0.2323 0.2323 0.7557  1 Cu 3.03, 5 Te 3.19-3.33
Te 0.6641 0.3359 0.0000  6 Pr 3.19-3.20
Te 0.1766 0.8234 0.5000  6 Pr 3.19-3.27
Pr 0.9230 0.6089 0.7651  1 Cu 2.98, 5 Te 3.19-3.27
Pr 0.6089 0.9230 0.7651  1 Cu 2.98, 5 Te 3.19-3.27
Te 0.3359 0.6641 0.0000  6 Pr 3.19-3.20
Pr 0.0770 0.3911 0.2349  1 Cu 2.98, 5 Te 3.19-3.27

Calculated values
- Symmetry: C2/m
- M_tot: 0.0000 μB/atom
- Calculated density: 6.68 g/cm3
- D(E_F): 5.68 states/eV per cell
- Energy relative to the elements, uncorrected: -14.83 eV per formula unit

***

[3]
Material: PrCuTe2
Method: DFT, PBE
State: optimized geometry

abc: 7.1643 7.7060 8.0832
angles: 90.00 90.00 95.07
With the nearest neighbours (Å) after each atom.
Atoms (fractional coordinates):
Te 0.6045 0.2766 0.6105  3 Cu 2.67-2.76
Pr 0.8045 0.6975 0.5433  7 Te 3.16-3.47, 1 Cu 3.51
Pr 0.1955 0.8025 0.0433  7 Te 3.16-3.47, 1 Cu 3.51
Te 0.0842 0.4956 0.7828  1 Cu 2.65
Cu 0.4399 0.4514 0.8471  4 Te 2.65-2.76, 1 Cu 2.70
Te 0.9158 0.0044 0.2828  1 Cu 2.65
Te 0.0842 0.9956 0.7172  1 Cu 2.65
Te 0.6045 0.7766 0.8895  3 Cu 2.67-2.76
Te 0.3955 0.7234 0.3895  3 Cu 2.67-2.76
Cu 0.5601 0.5486 0.1529  4 Te 2.65-2.76, 1 Cu 2.70
Pr 0.1955 0.3025 0.4567  7 Te 3.16-3.47, 1 Cu 3.51
Te 0.9158 0.5044 0.2172  1 Cu 2.65
Cu 0.5601 0.0486 0.3471  4 Te 2.65-2.76, 1 Cu 2.70
Pr 0.8045 0.1975 0.9567  7 Te 3.16-3.47, 1 Cu 3.51
Cu 0.4399 0.9514 0.6529  4 Te 2.65-2.76, 1 Cu 2.70
Te 0.3955 0.2234 0.1105  3 Cu 2.67-2.76

Calculated values
- Symmetry: P2_1/c
- M_tot: 0.0000 μB/atom
- Calculated density: 6.87 g/cm3
- Energy relative to the elements, uncorrected: -3.71 eV per formula unit

***

[4]
Material: PrCuTe
Method: DFT, PBE
State: optimized geometry

abc: 6.6015 7.7587 7.7584
angles: 67.87 67.70 67.70
With the nearest neighbours (Å) after each atom.
Atoms (fractional coordinates):
Cu 0.6206 0.4893 0.7393  3 Te 2.77-2.80, 3 Pr 3.02-3.04
Cu 0.3794 0.5107 0.2607  3 Te 2.77-2.80, 3 Pr 3.02-3.04
Te 0.7950 0.8061 0.5562  3 Cu 2.77-2.80
Pr 0.2064 0.9446 0.1946  3 Cu 3.02-3.04, 4 Te 3.20-3.25
Te 0.7949 0.3061 0.0562  3 Cu 2.77-2.80
Pr 0.7936 0.0554 0.8054  3 Cu 3.02-3.04, 4 Te 3.20-3.25
Pr 0.7936 0.5554 0.3054  3 Cu 3.02-3.04, 4 Te 3.20-3.25
Te 0.2050 0.1939 0.4438  3 Cu 2.77-2.80
Cu 0.6206 0.9893 0.2393  3 Te 2.77-2.80, 3 Pr 3.02-3.04
Cu 0.3794 0.0107 0.7607  3 Te 2.77-2.80, 3 Pr 3.02-3.04
Te 0.2051 0.6939 0.9438  3 Cu 2.77-2.80
Pr 0.2064 0.4446 0.6946  3 Cu 3.02-3.04, 4 Te 3.20-3.25

Calculated values
- Symmetry: P2_1/m
- M_tot: 0.0000 μB/atom
- Calculated density: 6.74 g/cm3
- D(E_F): 1.34 states/eV per cell
- Energy relative to the elements, uncorrected: -1.99 eV per formula unit

***

[5]
Material: PrCu2Te2
Method: DFT, PBE
State: optimized geometry

abc: 7.3023 7.3023 6.5791
angles: 117.46 117.46 99.47
With the nearest neighbours (Å) after each atom.
Atoms (fractional coordinates):
Te 0.8223 0.1777 0.2500  4 Cu 2.58-2.78
Te 0.1777 0.8223 0.7500  4 Cu 2.58-2.78
Te 0.4006 0.5994 0.2500  4 Cu 2.64-2.66
Cu 0.5533 0.7619 0.0402  4 Te 2.58-2.78, 1 Cu 2.69
Te 0.5994 0.4006 0.7500  4 Cu 2.64-2.66
Cu 0.4467 0.2381 0.9598  4 Te 2.58-2.78, 1 Cu 2.69
Cu 0.7619 0.5533 0.5402  4 Te 2.58-2.78, 1 Cu 2.69
Pr 0.8865 0.1135 0.7500  6 Te 3.20-3.37, 4 Cu 3.28-3.45
Cu 0.2381 0.4467 0.4598  4 Te 2.58-2.78, 1 Cu 2.69
Pr 0.1135 0.8865 0.2500  6 Te 3.20-3.37, 4 Cu 3.28-3.45

Calculated values
- Symmetry: C2/c
- M_tot: 0.0000 μB/atom
- Calculated density: 7.17 g/cm3
- D(E_F): 4.25 states/eV per cell
- Energy relative to the elements, uncorrected: -2.48 eV per formula unit

***

[6]
Material: Pr2CuTe
Method: DFT, PBE
State: optimized geometry

abc: 3.8933 3.8933 7.1448
angles: 90.00 90.00 90.00
With the nearest neighbours (Å) after each atom.
Atoms (fractional coordinates):
Cu 0.5000 0.5000 0.0000  8 Pr 3.24, 2 Te 3.57
Pr 0.0000 0.0000 0.2382  4 Cu 3.24, 4 Te 3.33, 1 Pr 3.40
Pr 0.0000 0.0000 0.7618  4 Cu 3.24, 4 Te 3.33, 1 Pr 3.40
Te 0.5000 0.5000 0.5000  8 Pr 3.33, 2 Cu 3.57

Calculated values
- Symmetry: P4/mmm
- M_tot: 0.0007 μB/atom
- Calculated density: 7.25 g/cm3
- D(E_F): 4.86 states/eV per cell
- Energy relative to the elements, uncorrected: -2.57 eV per formula unit

***

[7]
Material: Pr2CuTe3
Method: DFT, PBE
State: optimized geometry

abc: 4.2180 4.8771 9.4658
angles: 104.93 102.87 90.00
With the nearest neighbours (Å) after each atom.
Atoms (fractional coordinates):
Te 0.8228 0.8228 0.6456  1 Cu 3.15, 5 Pr 3.29-3.30
Pr 0.6381 0.6381 0.2761  7 Te 3.24-3.30
Pr 0.3619 0.3619 0.7239  7 Te 3.24-3.30
Cu 0.0000 0.0000 0.0000  2 Te 2.44
Te 0.0000 0.5000 0.0000  2 Cu 2.44
Te 0.1772 0.1772 0.3544  1 Cu 3.15, 5 Pr 3.29-3.30

Calculated values
- Symmetry: Immm
- M_tot: 0.0000 μB/atom
- Calculated density: 6.60 g/cm3
- D(E_F): 1.49 states/eV per cell
- Energy relative to the elements, uncorrected: -6.08 eV per formula unit

***

[8]
Material: Pr4CuTe4
Method: DFT, PBE
State: optimized geometry

abc: 6.4433 9.1921 9.1921
angles: 90.00 90.00 90.00
With the nearest neighbours (Å) after each atom.
Atoms (fractional coordinates):
Te 0.2417 0.2390 0.0000  1 Cu 2.69
Te 0.7583 0.0000 0.2390  1 Cu 2.69
Pr 0.2641 0.0000 0.2727  1 Cu 3.03, 6 Te 3.18-3.34
Te 0.7583 0.0000 0.7610  1 Cu 2.69
Pr 0.2359 0.5000 0.7727  1 Cu 3.03, 6 Te 3.18-3.34
Pr 0.2359 0.5000 0.2273  1 Cu 3.03, 6 Te 3.18-3.34
Pr 0.7641 0.2273 0.5000  1 Cu 3.03, 6 Te 3.18-3.34
Cu 0.0000 0.0000 0.0000  4 Te 2.69
Pr 0.7641 0.7727 0.5000  1 Cu 3.03, 6 Te 3.18-3.34
Te 0.2583 0.7390 0.5000  1 Cu 2.69
Te 0.7417 0.5000 0.2610  1 Cu 2.69
Pr 0.2641 0.0000 0.7273  1 Cu 3.03, 6 Te 3.18-3.34
Te 0.7417 0.5000 0.7390  1 Cu 2.69
Pr 0.7359 0.2727 0.0000  1 Cu 3.03, 6 Te 3.18-3.34
Te 0.2583 0.2610 0.5000  1 Cu 2.69
Te 0.2417 0.7610 0.0000  1 Cu 2.69
Pr 0.7359 0.7273 0.0000  1 Cu 3.03, 6 Te 3.18-3.34
Cu 0.5000 0.5000 0.5000  4 Te 2.69

Calculated values
- Symmetry: P4_2/nmc
- M_tot: 0.0000 μB/atom
- Calculated density: 6.94 g/cm3
- D(E_F): 10.19 states/eV per cell
- Energy relative to the elements, uncorrected: -10.30 eV per formula unit

***

[9]
Material: Pr2CuTe
Method: DFT, PBE
State: optimized geometry

abc: 4.6163 4.2406 12.0192
angles: 100.16 90.00 90.00
With the nearest neighbours (Å) after each atom.
Atoms (fractional coordinates):
Pr 0.2500 0.3323 0.6645  5 Te 3.20-3.27, 1 Cu 3.22
Pr 0.7500 0.6677 0.3355  5 Te 3.20-3.27, 1 Cu 3.22
Cu 0.2500 0.4682 0.9364  2 Cu 2.76, 2 Pr 3.02
Te 0.2500 0.1942 0.3884  6 Pr 3.20-3.27
Pr 0.2500 0.0588 0.1177  6 Cu 3.02-3.20, 1 Te 3.20
Pr 0.7500 0.9412 0.8823  6 Cu 3.02-3.20, 1 Te 3.20
Cu 0.7500 0.5318 0.0636  2 Cu 2.76, 2 Pr 3.02
Te 0.7500 0.8058 0.6116  6 Pr 3.20-3.27

Calculated values
- Symmetry: Cmcm
- M_tot: 0.0000 μB/atom
- Calculated density: 6.78 g/cm3
- D(E_F): 6.40 states/eV per cell
- Energy relative to the elements, uncorrected: -2.99 eV per formula unit

***

[10]
Material: Pr2CuTe
Method: DFT, PBE
State: optimized geometry

abc: 4.1704 4.1704 8.3351
angles: 75.51 75.51 60.00
With the nearest neighbours (Å) after each atom.
Atoms (fractional coordinates):
Pr 0.2460 0.2460 0.2621  3 Cu 3.08, 3 Te 3.20
Te 0.6674 0.6674 0.9978  6 Pr 3.18-3.20
Pr 0.0875 0.0875 0.7376  3 Cu 3.05, 3 Te 3.18
Cu 0.4992 0.4992 0.5025  6 Pr 3.05-3.08

Calculated values
- Symmetry: R3m
- M_tot: 0.0000 μB/atom
- Calculated density: 6.53 g/cm3
- D(E_F): 3.83 states/eV per cell
- Energy relative to the elements, uncorrected: -2.51 eV per formula unit

***

[11]
Material: Pr2CuTe
Method: DFT, PBE
State: optimized geometry

abc: 4.2976 4.2976 7.9126
angles: 74.24 74.24 60.00
With the nearest neighbours (Å) after each atom.
Atoms (fractional coordinates):
Te 0.5000 0.5000 0.5000  6 Pr 3.21
Cu 0.0000 0.0000 0.0000  6 Pr 3.02
Pr 0.7431 0.7431 0.7706  3 Cu 3.02, 3 Te 3.21
Pr 0.2569 0.2569 0.2294  3 Cu 3.02, 3 Te 3.21

Calculated values
- Symmetry: R-3m
- M_tot: 0.0002 μB/atom
- Calculated density: 6.54 g/cm3
- D(E_F): 5.28 states/eV per cell
- Energy relative to the elements, uncorrected: -2.81 eV per formula unit

***

[12]
Material: Pr4CuTe3
Method: DFT, PBE
State: optimized geometry

abc: 4.3726 7.8029 7.8029
angles: 108.55 90.00 90.00
With the nearest neighbours (Å) after each atom.
Atoms (fractional coordinates):
Pr 0.0000 0.2297 0.2297  2 Cu 3.03, 4 Te 3.17-3.29
Pr 0.0000 0.7703 0.7703  2 Cu 3.03, 4 Te 3.17-3.29
Te 0.0000 0.5000 0.0000  6 Pr 3.16-3.17
Te 0.5000 0.5000 0.5000  6 Pr 3.25-3.29
Cu 0.5000 0.0000 0.0000  6 Pr 3.03-3.08
Pr 0.5000 0.2433 0.7567  1 Cu 3.08, 5 Te 3.16-3.25
Pr 0.5000 0.7567 0.2433  1 Cu 3.08, 5 Te 3.16-3.25
Te 0.0000 0.0000 0.5000  6 Pr 3.16-3.17

Calculated values
- Symmetry: Cmmm
- M_tot: 0.0000 μB/atom
- Calculated density: 6.64 g/cm3
- D(E_F): 6.32 states/eV per cell
- Energy relative to the elements, uncorrected: -8.81 eV per formula unit

***

Among the records above, which one has the highest M_tot? number 6

***

M_tot of number 11 (Pr2CuTe)? 0.0002 μB/atom

***

M_tot of number 6 (Pr2CuTe)? 0.0007 μB/atom